# CsPrFeS3, relaxed, DFT GGA-PBE
# E_tot: -0.207 hartree per atom
data_CsPrFeS3
_space_group_name_H-M_alt 'P 1'
_space_group_IT_number 1
_cell_length_a 11.259
_cell_length_b 4.310
_cell_length_c 12.723
_cell_angle_alpha 90.00
_cell_angle_beta 90.00
_cell_angle_gamma 90.00
loop_
_space_group_symop_operation_xyz
'x,y,z'
loop_
_atom_site_label
_atom_site_fract_x
_atom_site_fract_y
_atom_site_fract_z
_atom_site_occupancy
Cs1 0.157 0.250 0.005 1
Cs2 0.343 0.750 0.505 1
Cs3 0.657 0.250 0.495 1
Cs4 0.843 0.750 0.995 1
Pr1 0.025 0.250 0.662 1
Pr2 0.475 0.750 0.162 1
Pr3 0.525 0.250 0.838 1
Pr4 0.975 0.750 0.338 1
Fe1 0.233 0.250 0.290 1
Fe2 0.267 0.750 0.790 1
Fe3 0.733 0.250 0.210 1
Fe4 0.767 0.750 0.710 1
S1 0.066 0.750 0.806 1
S2 0.110 0.250 0.440 1
S3 0.204 0.750 0.214 1
S4 0.296 0.250 0.714 1
S5 0.390 0.750 0.940 1
S6 0.434 0.250 0.306 1
S7 0.566 0.750 0.694 1
S8 0.610 0.250 0.060 1
S9 0.704 0.750 0.286 1
S10 0.796 0.250 0.786 1
S11 0.890 0.750 0.560 1
S12 0.934 0.250 0.194 1

***

# CsPrFeTe3, relaxed, DFT GGA-PBE
# E_tot: -0.176 hartree per atom
data_CsPrFeTe3
_space_group_name_H-M_alt 'P 1'
_space_group_IT_number 1
_cell_length_a 10.179
_cell_length_b 4.413
_cell_length_c 11.607
_cell_angle_alpha 90.00
_cell_angle_beta 112.60
_cell_angle_gamma 90.00
loop_
_space_group_symop_operation_xyz
'x,y,z'
loop_
_atom_site_label
_atom_site_fract_x
_atom_site_fract_y
_atom_site_fract_z
_atom_site_occupancy
Cs1 0.243 0.250 0.210 1
Cs2 0.757 0.750 0.790 1
Pr1 0.182 0.750 0.642 1
Pr2 0.818 0.250 0.358 1
Fe1 0.436 0.250 0.921 1
Fe2 0.564 0.750 0.079 1
Te1 0.038 0.750 0.349 1
Te2 0.289 0.750 0.947 1
Te3 0.422 0.250 0.689 1
Te4 0.578 0.750 0.311 1
Te5 0.711 0.250 0.053 1
Te6 0.962 0.250 0.651 1

***

# CsPrFeTe3, relaxed, DFT GGA-PBE
# E_tot: -0.169 hartree per atom
data_CsPrFeTe3
_space_group_name_H-M_alt 'P 1'
_space_group_IT_number 1
_cell_length_a 9.301
_cell_length_b 9.301
_cell_length_c 10.187
_cell_angle_alpha 91.65
_cell_angle_beta 91.65
_cell_angle_gamma 30.49
loop_
_space_group_symop_operation_xyz
'x,y,z'
loop_
_atom_site_label
_atom_site_fract_x
_atom_site_fract_y
_atom_site_fract_z
_atom_site_occupancy
Cs1 0.147 0.147 0.091 1
Cs2 0.853 0.853 0.909 1
Pr1 0.161 0.161 0.594 1
Pr2 0.839 0.839 0.406 1
Fe1 0.492 0.492 0.611 1
Fe2 0.508 0.508 0.389 1
Te1 0.000 0.000 0.500 1
Te2 0.336 0.336 0.624 1
Te3 0.385 0.385 0.217 1
Te4 0.500 0.500 0.000 1
Te5 0.615 0.615 0.783 1
Te6 0.664 0.664 0.376 1

***

# CsFePt, relaxed, DFT GGA-PBE
# Polymorph energy (0 for the lowest one): 27 kJ/mol of formula units
data_CsFePt
_space_group_name_H-M_alt 'P 1'
_space_group_IT_number 1
_cell_length_a 4.954
_cell_length_b 4.954
_cell_length_c 4.954
_cell_angle_alpha 60.00
_cell_angle_beta 60.00
_cell_angle_gamma 60.00
loop_
_space_group_symop_operation_xyz
'x,y,z'
loop_
_atom_site_label
_atom_site_fract_x
_atom_site_fract_y
_atom_site_fract_z
_atom_site_occupancy
Cs1 0.000 0.000 0.000 1
Fe1 0.500 0.500 0.500 1
Pt1 0.250 0.250 0.250 1

***

# CsFePt, relaxed, DFT GGA-PBE
# Polymorph energy (0 for the lowest one): 0 kJ/mol of formula units
data_CsFePt
_space_group_name_H-M_alt 'P 1'
_space_group_IT_number 1
_cell_length_a 4.728
_cell_length_b 4.728
_cell_length_c 4.728
_cell_angle_alpha 60.00
_cell_angle_beta 60.00
_cell_angle_gamma 60.00
loop_
_space_group_symop_operation_xyz
'x,y,z'
loop_
_atom_site_label
_atom_site_fract_x
_atom_site_fract_y
_atom_site_fract_z
_atom_site_occupancy
Cs1 0.000 0.000 0.000 1
Fe1 0.750 0.750 0.750 1
Pt1 0.500 0.500 0.500 1

***

# CsRbFe, relaxed, DFT GGA-PBE
# Polymorph energy (0 for the lowest one): 0 kJ/mol of formula units
data_CsRbFe
_space_group_name_H-M_alt 'P 1'
_space_group_IT_number 1
_cell_length_a 6.264
_cell_length_b 6.264
_cell_length_c 6.264
_cell_angle_alpha 60.00
_cell_angle_beta 60.00
_cell_angle_gamma 60.00
loop_
_space_group_symop_operation_xyz
'x,y,z'
loop_
_atom_site_label
_atom_site_fract_x
_atom_site_fract_y
_atom_site_fract_z
_atom_site_occupancy
Cs1 0.000 0.000 0.000 1
Rb1 0.500 0.500 0.500 1
Fe1 0.250 0.250 0.250 1

***

# CsRbFe, relaxed, DFT GGA-PBE
# Polymorph energy (0 for the lowest one): 48 kJ/mol of formula units
data_CsRbFe
_space_group_name_H-M_alt 'P 1'
_space_group_IT_number 1
_cell_length_a 6.199
_cell_length_b 6.199
_cell_length_c 6.199
_cell_angle_alpha 60.00
_cell_angle_beta 60.00
_cell_angle_gamma 60.00
loop_
_space_group_symop_operation_xyz
'x,y,z'
loop_
_atom_site_label
_atom_site_fract_x
_atom_site_fract_y
_atom_site_fract_z
_atom_site_occupancy
Cs1 0.000 0.000 0.000 1
Rb1 0.250 0.250 0.250 1
Fe1 0.750 0.750 0.750 1

***

# CsRbFe2S4, relaxed, DFT GGA-PBE
# E_tot: -0.189 hartree per atom
data_CsRbFe2S4
_space_group_name_H-M_alt 'P 1'
_space_group_IT_number 1
_cell_length_a 7.371
_cell_length_b 7.371
_cell_length_c 7.371
_cell_angle_alpha 137.23
_cell_angle_beta 123.45
_cell_angle_gamma 73.42
loop_
_space_group_symop_operation_xyz
'x,y,z'
loop_
_atom_site_label
_atom_site_fract_x
_atom_site_fract_y
_atom_site_fract_z
_atom_site_occupancy
Cs1 0.000 0.000 0.000 1
Rb1 0.653 0.653 0.000 1
Fe1 0.328 0.080 0.753 1
Fe2 0.328 0.575 0.247 1
S1 0.079 0.327 0.752 1
S2 0.183 0.683 0.500 1
S3 0.473 0.973 0.500 1
S4 0.574 0.327 0.248 1

***

# CsRbFe2S4, relaxed, DFT GGA-PBE
# E_tot: -0.189 hartree per atom
data_CsRbFe2S4
_space_group_name_H-M_alt 'P 1'
_space_group_IT_number 1
_cell_length_a 6.948
_cell_length_b 6.948
_cell_length_c 5.419
_cell_angle_alpha 101.05
_cell_angle_beta 101.05
_cell_angle_gamma 116.68
loop_
_space_group_symop_operation_xyz
'x,y,z'
loop_
_atom_site_label
_atom_site_fract_x
_atom_site_fract_y
_atom_site_fract_z
_atom_site_occupancy
Cs1 0.000 0.000 0.000 1
Rb1 0.292 0.708 0.500 1
Fe1 0.646 0.354 0.000 1
Fe2 0.649 0.351 0.500 1
S1 0.368 0.273 0.659 1
S2 0.561 0.069 0.158 1
S3 0.727 0.632 0.341 1
S4 0.931 0.439 0.842 1

***

# Cs3FeS3, relaxed, DFT GGA-PBE
# E_tot: -0.156 hartree per atom
data_Cs3FeS3
_space_group_name_H-M_alt 'P 1'
_space_group_IT_number 1
_cell_length_a 10.329
_cell_length_b 10.329
_cell_length_c 13.412
_cell_angle_alpha 90.00
_cell_angle_beta 90.00
_cell_angle_gamma 42.49
loop_
_space_group_symop_operation_xyz
'x,y,z'
loop_
_atom_site_label
_atom_site_fract_x
_atom_site_fract_y
_atom_site_fract_z
_atom_site_occupancy
Cs1 0.019 0.334 0.875 1
Cs2 0.121 0.879 0.814 1
Cs3 0.166 0.481 0.625 1
Cs4 0.334 0.019 0.125 1
Cs5 0.379 0.621 0.314 1
Cs6 0.481 0.166 0.375 1
Cs7 0.519 0.834 0.625 1
Cs8 0.621 0.379 0.686 1
Cs9 0.666 0.981 0.875 1
Cs10 0.834 0.519 0.375 1
Cs11 0.879 0.121 0.186 1
Cs12 0.981 0.666 0.125 1
Fe1 0.074 0.074 0.500 1
Fe2 0.426 0.426 0.000 1
Fe3 0.574 0.574 0.000 1
Fe4 0.926 0.926 0.500 1
S1 0.013 0.268 0.618 1
S2 0.212 0.788 0.559 1
S3 0.232 0.487 0.882 1
S4 0.268 0.013 0.382 1
S5 0.288 0.712 0.059 1
S6 0.487 0.232 0.118 1
S7 0.513 0.768 0.882 1
S8 0.712 0.288 0.941 1
S9 0.732 0.987 0.618 1
S10 0.768 0.513 0.118 1
S11 0.788 0.212 0.441 1
S12 0.987 0.732 0.382 1

***

# Cs3Fe2S4, relaxed, DFT GGA-PBE
# E_tot: -0.176 hartree per atom
data_Cs3Fe2S4
_space_group_name_H-M_alt 'P 1'
_space_group_IT_number 1
_cell_length_a 7.593
_cell_length_b 11.045
_cell_length_c 13.023
_cell_angle_alpha 90.00
_cell_angle_beta 90.00
_cell_angle_gamma 90.00
loop_
_space_group_symop_operation_xyz
'x,y,z'
loop_
_atom_site_label
_atom_site_fract_x
_atom_site_fract_y
_atom_site_fract_z
_atom_site_occupancy
Cs1 0.012 0.250 0.052 1
Cs2 0.109 0.031 0.787 1
Cs3 0.109 0.469 0.787 1
Cs4 0.391 0.531 0.287 1
Cs5 0.391 0.969 0.287 1
Cs6 0.488 0.750 0.552 1
Cs7 0.512 0.250 0.448 1
Cs8 0.609 0.031 0.713 1
Cs9 0.609 0.469 0.713 1
Cs10 0.891 0.531 0.213 1
Cs11 0.891 0.969 0.213 1
Cs12 0.988 0.750 0.948 1
Fe1 0.009 0.627 0.507 1
Fe2 0.009 0.873 0.507 1
Fe3 0.491 0.127 0.007 1
Fe4 0.491 0.373 0.007 1
Fe5 0.509 0.627 0.993 1
Fe6 0.509 0.873 0.993 1
Fe7 0.991 0.127 0.493 1
Fe8 0.991 0.373 0.493 1
S1 0.042 0.250 0.357 1
S2 0.096 0.750 0.376 1
S3 0.227 0.011 0.537 1
S4 0.227 0.489 0.537 1
S5 0.273 0.511 0.037 1
S6 0.273 0.989 0.037 1
S7 0.404 0.250 0.876 1
S8 0.458 0.750 0.857 1
S9 0.542 0.250 0.143 1
S10 0.596 0.750 0.124 1
S11 0.727 0.011 0.963 1
S12 0.727 0.489 0.963 1
S13 0.773 0.511 0.463 1
S14 0.773 0.989 0.463 1
S15 0.904 0.250 0.624 1
S16 0.958 0.750 0.643 1

***

# CsScFeS3, relaxed, DFT GGA-PBE
# E_tot: -0.208 hartree per atom
data_CsScFeS3
_space_group_name_H-M_alt 'P 1'
_space_group_IT_number 1
_cell_length_a 8.381
_cell_length_b 8.381
_cell_length_c 8.769
_cell_angle_alpha 99.40
_cell_angle_beta 99.40
_cell_angle_gamma 27.05
loop_
_space_group_symop_operation_xyz
'x,y,z'
loop_
_atom_site_label
_atom_site_fract_x
_atom_site_fract_y
_atom_site_fract_z
_atom_site_occupancy
Cs1 0.159 0.159 0.059 1
Cs2 0.841 0.841 0.941 1
Sc1 0.162 0.162 0.563 1
Sc2 0.838 0.838 0.437 1
Fe1 0.499 0.499 0.274 1
Fe2 0.501 0.501 0.726 1
S1 0.000 0.000 0.500 1
S2 0.330 0.330 0.630 1
S3 0.354 0.354 0.256 1
S4 0.500 0.500 0.000 1
S5 0.646 0.646 0.744 1
S6 0.670 0.670 0.370 1

***

# CsSrFeS3, relaxed, DFT GGA-PBE
# E_tot: -0.185 hartree per atom
data_CsSrFeS3
_space_group_name_H-M_alt 'P 1'
_space_group_IT_number 1
_cell_length_a 8.013
_cell_length_b 8.013
_cell_length_c 11.548
_cell_angle_alpha 90.00
_cell_angle_beta 90.00
_cell_angle_gamma 149.83
loop_
_space_group_symop_operation_xyz
'x,y,z'
loop_
_atom_site_label
_atom_site_fract_x
_atom_site_fract_y
_atom_site_fract_z
_atom_site_occupancy
Cs1 0.236 0.764 0.750 1
Cs2 0.764 0.236 0.250 1
Sr1 0.500 0.500 0.000 1
Sr2 0.500 0.500 0.500 1
Fe1 0.041 0.959 0.250 1
Fe2 0.959 0.041 0.750 1
S1 0.120 0.880 0.090 1
S2 0.120 0.880 0.410 1
S3 0.457 0.543 0.250 1
S4 0.543 0.457 0.750 1
S5 0.880 0.120 0.590 1
S6 0.880 0.120 0.910 1

***

# CsTbFeS3, relaxed, DFT GGA-PBE
# Polymorph energy (0 for the lowest one): 2 kJ/mol of formula units
data_CsTbFeS3
_space_group_name_H-M_alt 'P 1'
_space_group_IT_number 1
_cell_length_a 8.070
_cell_length_b 8.070
_cell_length_c 10.506
_cell_angle_alpha 90.00
_cell_angle_beta 90.00
_cell_angle_gamma 151.21
loop_
_space_group_symop_operation_xyz
'x,y,z'
loop_
_atom_site_label
_atom_site_fract_x
_atom_site_fract_y
_atom_site_fract_z
_atom_site_occupancy
Cs1 0.240 0.760 0.750 1
Cs2 0.760 0.240 0.250 1
Tb1 0.500 0.500 0.000 1
Tb2 0.500 0.500 0.500 1
Fe1 0.032 0.968 0.250 1
Fe2 0.968 0.032 0.750 1
S1 0.112 0.888 0.068 1
S2 0.112 0.888 0.432 1
S3 0.448 0.552 0.250 1
S4 0.552 0.448 0.750 1
S5 0.888 0.112 0.568 1
S6 0.888 0.112 0.932 1

***

# CsTbFeS3, relaxed, DFT GGA-PBE
# Polymorph energy (0 for the lowest one): 3 kJ/mol of formula units
data_CsTbFeS3
_space_group_name_H-M_alt 'P 1'
_space_group_IT_number 1
_cell_length_a 15.617
_cell_length_b 4.014
_cell_length_c 10.743
_cell_angle_alpha 90.00
_cell_angle_beta 90.00
_cell_angle_gamma 90.00
loop_
_space_group_symop_operation_xyz
'x,y,z'
loop_
_atom_site_label
_atom_site_fract_x
_atom_site_fract_y
_atom_site_fract_z
_atom_site_occupancy
Cs1 0.236 0.250 0.025 1
Cs2 0.264 0.750 0.525 1
Cs3 0.736 0.250 0.475 1
Cs4 0.764 0.750 0.975 1
Tb1 0.014 0.250 0.344 1
Tb2 0.486 0.750 0.844 1
Tb3 0.514 0.250 0.156 1
Tb4 0.986 0.750 0.656 1
Fe1 0.011 0.750 0.087 1
Fe2 0.489 0.250 0.587 1
Fe3 0.511 0.750 0.413 1
Fe4 0.989 0.250 0.913 1
S1 0.071 0.750 0.888 1
S2 0.089 0.250 0.571 1
S3 0.114 0.750 0.238 1
S4 0.386 0.250 0.738 1
S5 0.411 0.750 0.071 1
S6 0.429 0.250 0.388 1
S7 0.571 0.750 0.612 1
S8 0.589 0.250 0.929 1
S9 0.614 0.750 0.262 1
S10 0.886 0.250 0.762 1
S11 0.911 0.750 0.429 1
S12 0.929 0.250 0.112 1

***

# CsTbFeS3, relaxed, DFT GGA-PBE
# Polymorph energy (0 for the lowest one): 146 kJ/mol of formula units
data_CsTbFeS3
_space_group_name_H-M_alt 'P 1'
_space_group_IT_number 1
_cell_length_a 8.627
_cell_length_b 8.627
_cell_length_c 8.972
_cell_angle_alpha 101.22
_cell_angle_beta 101.22
_cell_angle_gamma 27.97
loop_
_space_group_symop_operation_xyz
'x,y,z'
loop_
_atom_site_label
_atom_site_fract_x
_atom_site_fract_y
_atom_site_fract_z
_atom_site_occupancy
Cs1 0.157 0.157 0.062 1
Cs2 0.843 0.843 0.938 1
Tb1 0.161 0.161 0.569 1
Tb2 0.839 0.839 0.431 1
Fe1 0.500 0.500 0.262 1
Fe2 0.500 0.500 0.738 1
S1 0.000 0.000 0.500 1
S2 0.336 0.336 0.636 1
S3 0.357 0.357 0.243 1
S4 0.500 0.500 0.000 1
S5 0.643 0.643 0.757 1
S6 0.664 0.664 0.364 1

***

# CsTbFeS3, relaxed, DFT GGA-PBE
# Polymorph energy (0 for the lowest one): 43 kJ/mol of formula units
data_CsTbFeS3
_space_group_name_H-M_alt 'P 1'
_space_group_IT_number 1
_cell_length_a 10.426
_cell_length_b 4.037
_cell_length_c 14.717
_cell_angle_alpha 90.00
_cell_angle_beta 90.00
_cell_angle_gamma 90.00
loop_
_space_group_symop_operation_xyz
'x,y,z'
loop_
_atom_site_label
_atom_site_fract_x
_atom_site_fract_y
_atom_site_fract_z
_atom_site_occupancy
Cs1 0.026 0.250 0.159 1
Cs2 0.474 0.750 0.659 1
Cs3 0.526 0.250 0.341 1
Cs4 0.974 0.750 0.841 1
Tb1 0.149 0.750 0.430 1
Tb2 0.351 0.250 0.930 1
Tb3 0.649 0.750 0.070 1
Tb4 0.851 0.250 0.570 1
Fe1 0.155 0.250 0.630 1
Fe2 0.345 0.750 0.130 1
Fe3 0.655 0.250 0.870 1
Fe4 0.845 0.750 0.370 1
S1 0.034 0.750 0.608 1
S2 0.210 0.750 0.007 1
S3 0.237 0.250 0.770 1
S4 0.263 0.750 0.270 1
S5 0.290 0.250 0.507 1
S6 0.466 0.250 0.108 1
S7 0.534 0.750 0.892 1
S8 0.710 0.750 0.493 1
S9 0.737 0.250 0.730 1
S10 0.763 0.750 0.230 1
S11 0.790 0.250 0.993 1
S12 0.966 0.250 0.392 1

***

# CsTbFeS3, relaxed, DFT GGA-PBE
# Polymorph energy (0 for the lowest one): 3 kJ/mol of formula units
data_CsTbFeS3
_space_group_name_H-M_alt 'P 1'
_space_group_IT_number 1
_cell_length_a 10.514
_cell_length_b 4.026
_cell_length_c 15.426
_cell_angle_alpha 90.00
_cell_angle_beta 90.00
_cell_angle_gamma 90.00
loop_
_space_group_symop_operation_xyz
'x,y,z'
loop_
_atom_site_label
_atom_site_fract_x
_atom_site_fract_y
_atom_site_fract_z
_atom_site_occupancy
Cs1 0.249 0.250 0.010 1
Cs2 0.251 0.750 0.510 1
Cs3 0.749 0.250 0.490 1
Cs4 0.751 0.750 0.990 1
Tb1 0.003 0.750 0.250 1
Tb2 0.497 0.250 0.750 1
Tb3 0.503 0.750 0.250 1
Tb4 0.997 0.250 0.750 1
Fe1 0.247 0.750 0.782 1
Fe2 0.253 0.250 0.282 1
Fe3 0.747 0.750 0.718 1
Fe4 0.753 0.250 0.218 1
S1 0.065 0.750 0.863 1
S2 0.070 0.250 0.363 1
S3 0.247 0.250 0.698 1
S4 0.253 0.750 0.198 1
S5 0.430 0.750 0.863 1
S6 0.435 0.250 0.363 1
S7 0.565 0.750 0.637 1
S8 0.570 0.250 0.137 1
S9 0.747 0.250 0.802 1
S10 0.753 0.750 0.302 1
S11 0.930 0.750 0.637 1
S12 0.935 0.250 0.137 1

***

# CsTbFeS3, relaxed, DFT GGA-PBE
# Polymorph energy (0 for the lowest one): 0 kJ/mol of formula units
data_CsTbFeS3
_space_group_name_H-M_alt 'P 1'
_space_group_IT_number 1
_cell_length_a 9.430
_cell_length_b 4.004
_cell_length_c 9.757
_cell_angle_alpha 90.00
_cell_angle_beta 111.73
_cell_angle_gamma 90.00
loop_
_space_group_symop_operation_xyz
'x,y,z'
loop_
_atom_site_label
_atom_site_fract_x
_atom_site_fract_y
_atom_site_fract_z
_atom_site_occupancy
Cs1 0.216 0.250 0.243 1
Cs2 0.784 0.750 0.757 1
Tb1 0.334 0.750 0.854 1
Tb2 0.666 0.250 0.146 1
Fe1 0.076 0.250 0.594 1
Fe2 0.924 0.750 0.406 1
S1 0.124 0.250 0.842 1
S2 0.187 0.750 0.542 1
S3 0.471 0.750 0.152 1
S4 0.529 0.250 0.848 1
S5 0.813 0.250 0.458 1
S6 0.876 0.750 0.158 1